1.
Density functional theory data (PBE-GGA) for an optimized crystal structure of V3SnMo.

* ΔE to the lowest computed polymorph: 0.760 eV/atom

a = 4.583 Å, b = 4.583 Å, c = 4.583 Å
α = 90.00°, β = 90.00°, γ = 90.00°
Fractional coordinates of all 5 atoms:
Mo (0.000, 0.000, 0.000)
V (0.000, 0.500, 0.000)
V (0.500, 0.000, 0.000)
V (0.000, 0.000, 0.500)
Sn (0.500, 0.500, 0.500)

=====

2.
Density functional theory data (PBE-GGA) for an optimized crystal structure of VSn2Mo2.

* ΔE to the lowest computed polymorph: 0.000 eV/atom

a = 6.573 Å, b = 6.573 Å, c = 4.351 Å
α = 90.00°, β = 90.00°, γ = 90.00°
Fractional coordinates of all 10 atoms:
Mo (0.141, 0.359, 0.000)
Mo (0.859, 0.641, 0.000)
Mo (0.359, 0.859, 0.000)
Mo (0.641, 0.141, 0.000)
V (0.500, 0.500, 0.000)
V (0.000, 0.000, 0.000)
Sn (0.672, 0.828, 0.500)
Sn (0.172, 0.672, 0.500)
Sn (0.328, 0.172, 0.500)
Sn (0.828, 0.328, 0.500)

=====

3.
Density functional theory data (PBE-GGA) for an optimized crystal structure of VSnMoW.

a = 4.539 Å, b = 4.539 Å, c = 4.539 Å
α = 60.00°, β = 60.00°, γ = 60.00°
Fractional coordinates of all 4 atoms:
Mo (0.000, 0.000, 0.000)
Sn (0.250, 0.250, 0.250)
V (0.500, 0.500, 0.500)
W (0.750, 0.750, 0.750)

=====

4.
Density functional theory data (PBE-GGA) for an optimized crystal structure of V2SnMoW.

a = 4.644 Å, b = 4.902 Å, c = 4.644 Å
α = 90.00°, β = 90.00°, γ = 90.00°
Fractional coordinates of all 5 atoms:
Sn (0.000, 0.000, 0.000)
W (0.000, 0.500, 0.000)
V (0.000, 0.000, 0.500)
V (0.500, 0.000, 0.000)
Mo (0.500, 0.500, 0.500)

=====

5.
Density functional theory data (PBE-GGA) for an optimized crystal structure of YVSnMo2.

a = 4.943 Å, b = 5.385 Å, c = 4.943 Å
α = 90.00°, β = 90.00°, γ = 90.00°
Fractional coordinates of all 5 atoms:
Mo (0.000, 0.000, 0.500)
Mo (0.500, 0.000, 0.000)
Y (0.000, 0.500, 0.000)
V (0.500, 0.500, 0.500)
Sn (0.000, 0.000, 0.000)

=====

6.
Density functional theory data (PBE-GGA) for an optimized crystal structure of Sn2Mo2W.

* ΔE to the lowest computed polymorph: 0.000 eV/atom

a = 6.712 Å, b = 6.712 Å, c = 4.307 Å
α = 90.00°, β = 90.00°, γ = 90.00°
Fractional coordinates of all 10 atoms:
Mo (0.137, 0.363, 0.000)
Mo (0.363, 0.863, 0.000)
Mo (0.637, 0.137, 0.000)
Mo (0.863, 0.637, 0.000)
Sn (0.173, 0.673, 0.500)
Sn (0.327, 0.173, 0.500)
Sn (0.827, 0.327, 0.500)
Sn (0.673, 0.827, 0.500)
W (0.000, 0.000, 0.000)
W (0.500, 0.500, 0.000)

=====

7.
Density functional theory data (PBE-GGA) for an optimized crystal structure of Sn2MoW.

a = 4.704 Å, b = 4.704 Å, c = 4.704 Å
α = 60.00°, β = 60.00°, γ = 60.00°
Fractional coordinates of all 4 atoms:
Sn (0.750, 0.750, 0.750)
Sn (0.250, 0.250, 0.250)
W (0.500, 0.500, 0.500)
Mo (0.000, 0.000, 0.000)

=====

8.
Density functional theory data (PBE-GGA) for an optimized crystal structure of Sn2Mo2W.

* ΔE to the lowest computed polymorph: 0.363 eV/atom

a = 3.791 Å, b = 3.791 Å, c = 7.465 Å
α = 75.29°, β = 75.29°, γ = 90.00°
Fractional coordinates of all 5 atoms:
Mo (0.588, 0.588, 0.825)
Mo (0.412, 0.412, 0.175)
Sn (0.250, 0.750, 0.500)
Sn (0.750, 0.250, 0.500)
W (0.000, 0.000, 0.000)

=====

9.
Density functional theory data (PBE-GGA) for an optimized crystal structure of SnMo2W.

a = 7.504 Å, b = 7.504 Å, c = 5.984 Å
α = 51.17°, β = 51.17°, γ = 90.00°
Fractional coordinates of all 8 atoms:
W (0.000, 0.000, 0.000)
W (0.750, 0.250, 0.500)
Mo (0.077, 0.625, 0.250)
Mo (0.875, 0.923, 0.750)
Mo (0.375, 0.327, 0.750)
Mo (0.673, 0.125, 0.250)
Sn (0.250, 0.750, 0.500)
Sn (0.500, 0.500, 0.000)

=====

10.
Density functional theory data (PBE-GGA) for an optimized crystal structure of Sn3MoW.

* ΔE to the lowest computed polymorph: 0.000 eV/atom

a = 5.258 Å, b = 5.258 Å, c = 5.258 Å
α = 90.00°, β = 90.00°, γ = 90.00°
Fractional coordinates of all 5 atoms:
Sn (0.000, 0.000, 0.500)
Sn (0.500, 0.000, 0.000)
Sn (0.000, 0.500, 0.000)
W (0.000, 0.000, 0.000)
Mo (0.500, 0.500, 0.500)

=====

11.
Density functional theory data (PBE-GGA) for an optimized crystal structure of YSnMo.

* ΔE to the lowest computed polymorph: 0.117 eV/atom

a = 6.152 Å, b = 4.721 Å, c = 9.716 Å
α = 90.00°, β = 105.53°, γ = 90.00°
Fractional coordinates of all 12 atoms:
Y (0.861, 0.000, 0.396)
Y (0.230, 0.000, 0.123)
Y (0.861, 0.500, 0.896)
Y (0.230, 0.500, 0.623)
Mo (0.693, 0.000, 0.073)
Mo (0.693, 0.500, 0.573)
Mo (0.523, 0.500, 0.313)
Mo (0.523, 0.000, 0.813)
Sn (0.944, 0.500, 0.220)
Sn (0.411, 0.000, 0.471)
Sn (0.411, 0.500, 0.971)
Sn (0.944, 0.000, 0.720)

=====

12.
Density functional theory data (PBE-GGA) for an optimized crystal structure of Y4Sn2Mo.

a = 5.084 Å, b = 5.084 Å, c = 8.996 Å
α = 73.59°, β = 73.59°, γ = 90.00°
Fractional coordinates of all 7 atoms:
Y (0.824, 0.824, 0.352)
Y (0.000, 0.500, 0.000)
Y (0.500, 0.000, 0.000)
Y (0.176, 0.176, 0.648)
Sn (0.363, 0.363, 0.274)
Sn (0.637, 0.637, 0.726)
Mo (0.000, 0.000, 0.000)

=====

13.
Density functional theory data (PBE-GGA) for an optimized crystal structure of YSnMo.

* ΔE to the lowest computed polymorph: 0.118 eV/atom

a = 7.845 Å, b = 3.916 Å, c = 11.149 Å
α = 90.00°, β = 124.51°, γ = 90.00°
Fractional coordinates of all 12 atoms:
Mo (0.042, 0.500, 0.623)
Mo (0.958, 0.500, 0.377)
Mo (0.958, 0.000, 0.877)
Mo (0.042, 0.000, 0.123)
Sn (0.716, 0.000, 0.167)
Sn (0.284, 0.000, 0.833)
Sn (0.284, 0.500, 0.333)
Sn (0.716, 0.500, 0.667)
Y (0.677, 0.000, 0.427)
Y (0.323, 0.000, 0.573)
Y (0.323, 0.500, 0.073)
Y (0.677, 0.500, 0.927)

=====

14.
Density functional theory data (PBE-GGA) for an optimized crystal structure of YSnMo.

* ΔE to the lowest computed polymorph: 0.148 eV/atom

a = 8.952 Å, b = 3.547 Å, c = 9.342 Å
α = 90.00°, β = 101.71°, γ = 90.00°
Fractional coordinates of all 12 atoms:
Mo (0.566, 0.000, 0.055)
Mo (0.456, 0.500, 0.871)
Mo (0.456, 0.000, 0.371)
Mo (0.566, 0.500, 0.555)
Y (0.731, 0.000, 0.802)
Y (0.731, 0.500, 0.302)
Y (0.146, 0.000, 0.880)
Y (0.146, 0.500, 0.380)
Sn (0.921, 0.000, 0.118)
Sn (0.339, 0.500, 0.131)
Sn (0.339, 0.000, 0.631)
Sn (0.921, 0.500, 0.618)

=====

15.
Density functional theory data (PBE-GGA) for an optimized crystal structure of YSnMo2.

a = 7.831 Å, b = 7.831 Å, c = 6.234 Å
α = 51.09°, β = 51.09°, γ = 90.00°
Fractional coordinates of all 8 atoms:
Mo (0.657, 0.125, 0.250)
Mo (0.093, 0.625, 0.250)
Mo (0.375, 0.343, 0.750)
Mo (0.875, 0.907, 0.750)
Y (0.250, 0.750, 0.500)
Y (0.500, 0.500, 0.000)
Sn (0.000, 0.000, 0.000)
Sn (0.750, 0.250, 0.500)

=====

16.
Density functional theory data (PBE-GGA) for an optimized crystal structure of YSnMo.

* ΔE to the lowest computed polymorph: 0.127 eV/atom

a = 13.074 Å, b = 6.019 Å, c = 3.511 Å
α = 90.00°, β = 90.00°, γ = 90.00°
Fractional coordinates of all 12 atoms:
Mo (0.500, 0.698, 0.500)
Mo (0.500, 0.302, 0.500)
Mo (0.000, 0.802, 0.000)
Mo (0.000, 0.198, 0.000)
Sn (0.118, 0.500, 0.500)
Sn (0.882, 0.500, 0.500)
Sn (0.382, 0.000, 0.000)
Sn (0.618, 0.000, 0.000)
Y (0.180, 0.000, 0.500)
Y (0.320, 0.500, 0.000)
Y (0.820, 0.000, 0.500)
Y (0.680, 0.500, 0.000)

=====

17.
Density functional theory data (PBE-GGA) for an optimized crystal structure of YSnMo.

* ΔE to the lowest computed polymorph: 0.143 eV/atom

a = 3.276 Å, b = 4.424 Å, c = 9.482 Å
α = 90.00°, β = 99.82°, γ = 90.00°
Fractional coordinates of all 6 atoms:
Y (0.805, 0.500, 0.075)
Y (0.642, 0.500, 0.695)
Sn (0.434, 0.000, 0.261)
Sn (0.212, 0.000, 0.868)
Mo (0.994, 0.000, 0.528)
Mo (0.189, 0.500, 0.413)

=====

18.
Density functional theory data (PBE-GGA) for an optimized crystal structure of YSn2Mo2.

* ΔE to the lowest computed polymorph: 0.000 eV/atom

a = 4.094 Å, b = 4.094 Å, c = 7.146 Å
α = 73.36°, β = 73.36°, γ = 90.00°
Fractional coordinates of all 5 atoms:
Y (0.000, 0.000, 0.000)
Mo (0.750, 0.250, 0.500)
Mo (0.250, 0.750, 0.500)
Sn (0.609, 0.609, 0.783)
Sn (0.391, 0.391, 0.217)

=====

19.
Density functional theory data (PBE-GGA) for an optimized crystal structure of YSnMo.

* ΔE to the lowest computed polymorph: 0.144 eV/atom

a = 4.828 Å, b = 6.918 Å, c = 8.485 Å
α = 90.00°, β = 90.00°, γ = 90.00°
Fractional coordinates of all 12 atoms:
Sn (0.000, 0.781, 0.296)
Sn (0.500, 0.281, 0.796)
Sn (0.500, 0.719, 0.796)
Sn (0.000, 0.219, 0.296)
Mo (0.000, 0.660, 0.974)
Mo (0.500, 0.160, 0.474)
Mo (0.500, 0.840, 0.474)
Mo (0.000, 0.340, 0.974)
Y (0.500, 0.500, 0.196)
Y (0.000, 0.000, 0.696)
Y (0.500, 0.000, 0.100)
Y (0.000, 0.500, 0.600)

=====

20.
Density functional theory data (PBE-GGA) for an optimized crystal structure of YSnMo.

* ΔE to the lowest computed polymorph: 0.004 eV/atom

a = 4.551 Å, b = 3.830 Å, c = 7.962 Å
α = 90.00°, β = 92.49°, γ = 90.00°
Fractional coordinates of all 6 atoms:
Mo (0.804, 0.750, 0.485)
Mo (0.196, 0.250, 0.515)
Y (0.760, 0.250, 0.155)
Y (0.240, 0.750, 0.845)
Sn (0.276, 0.750, 0.254)
Sn (0.724, 0.250, 0.746)

=====

21.
Density functional theory data (PBE-GGA) for an optimized crystal structure of YSnMo.

* ΔE to the lowest computed polymorph: 0.116 eV/atom

a = 6.053 Å, b = 3.755 Å, c = 12.314 Å
α = 90.00°, β = 90.00°, γ = 90.00°
Fractional coordinates of all 12 atoms:
Mo (0.291, 0.000, 0.782)
Mo (0.291, 0.500, 0.282)
Mo (0.709, 0.000, 0.782)
Mo (0.709, 0.500, 0.282)
Sn (0.000, 0.000, 0.174)
Sn (0.000, 0.500, 0.674)
Sn (0.500, 0.000, 0.413)
Sn (0.500, 0.500, 0.913)
Y (0.500, 0.000, 0.106)
Y (0.000, 0.000, 0.461)
Y (0.000, 0.500, 0.961)
Y (0.500, 0.500, 0.606)

=====

22.
Density functional theory data (PBE-GGA) for an optimized crystal structure of YSnMo.

* ΔE to the lowest computed polymorph: 0.000 eV/atom

a = 15.635 Å, b = 4.148 Å, c = 4.325 Å
α = 90.00°, β = 90.00°, γ = 90.00°
Fractional coordinates of all 12 atoms:
Y (0.833, 0.500, 0.211)
Y (0.167, 0.500, 0.211)
Y (0.667, 0.000, 0.711)
Y (0.333, 0.000, 0.711)
Mo (0.000, 0.500, 0.814)
Mo (0.000, 0.000, 0.187)
Mo (0.500, 0.000, 0.314)
Mo (0.500, 0.500, 0.687)
Sn (0.625, 0.500, 0.199)
Sn (0.875, 0.000, 0.699)
Sn (0.375, 0.500, 0.199)
Sn (0.125, 0.000, 0.699)

=====

23.
Density functional theory data (PBE-GGA) for an optimized crystal structure of YSnMo.

* ΔE to the lowest computed polymorph: 0.064 eV/atom

a = 7.426 Å, b = 4.663 Å, c = 10.783 Å
α = 90.00°, β = 130.38°, γ = 90.00°
Fractional coordinates of all 12 atoms:
Mo (0.423, 0.000, 0.366)
Mo (0.423, 0.500, 0.866)
Mo (0.577, 0.000, 0.634)
Mo (0.577, 0.500, 0.134)
Y (0.804, 0.500, 0.556)
Y (0.196, 0.000, 0.944)
Y (0.196, 0.500, 0.444)
Y (0.804, 0.000, 0.056)
Sn (0.764, 0.000, 0.325)
Sn (0.236, 0.500, 0.175)
Sn (0.236, 0.000, 0.675)
Sn (0.764, 0.500, 0.825)

=====

24.
Density functional theory data (PBE-GGA) for an optimized crystal structure of Y2Sn2Mo.

a = 7.439 Å, b = 7.439 Å, c = 4.439 Å
α = 90.00°, β = 90.00°, γ = 90.00°
Fractional coordinates of all 10 atoms:
Y (0.673, 0.827, 0.500)
Y (0.173, 0.673, 0.500)
Y (0.827, 0.327, 0.500)
Y (0.327, 0.173, 0.500)
Sn (0.139, 0.361, 0.000)
Sn (0.861, 0.639, 0.000)
Sn (0.361, 0.861, 0.000)
Sn (0.639, 0.139, 0.000)
Mo (0.000, 0.000, 0.000)
Mo (0.500, 0.500, 0.000)

=====

The evaluated formation energy for the records listed, in turn: 1038.1; 396.2; 187.6; 2303.0; 1963.9; 588.7; 580.1; 951.5; 925.1; 1232.7; -160.3; 32.4; -159.1; -128.8; 822.8; -150.2; -134.3; 34.3; -133.3; -273.5; -160.6; -277.0; -212.8; -319.5 meV/atom.